Here is Pr2YGe after structural relaxation from Alexandria via LeMat-Bulk. Energies are from GGA-PBE.

Calculated values
Total energy, eV per atom: -5.355
Offset from the most stable computed form, eV per atom: 0.132
Formation energy from the elements, kJ/mol of atoms: -18.81

a b c (Å): 3.9338 3.9338 29.5906
angles (deg): 90.00 90.00 120.00
Closest atoms and distances in Å follow each position.
Space group R3m (No. 160, hexagonal axes)
One atom of each set of equivalent atoms:
Pr (0.0000, 0.0000, 0.0000) x3  3 Ge 2.99
Pr (0.0000, 0.0000, 0.2013) x3  3 Ge 3.00
Y (0.0000, 0.0000, 0.7670) x3  6 Pr 3.74-3.75, 6 Y 3.93
Ge (0.0000, 0.0000, 0.6009) x3  6 Pr 2.99-3.00